The following is a PBE calculation of a relaxed ScGeAu crystal, from Alexandria via LeMat-Bulk.

The formation energy from the elements is -183 kJ/mol of formula units. Its raw total energy is -5.3758 eV per atom. For the calculated density, the calculation gives 9.33 g/cm3.

a = 5.5259 Å, b = 5.5259 Å, c = 5.5259 Å
α = 132.94°, β = 106.60°, γ = 91.90°
With the nearest neighbours (Å) after each atom.
Fractional positions:
Sc  0.0000  0.0000  0.0000  6 Ge 3.00-3.05, 6 Au 3.07, 2 Sc 3.31
Sc  0.5287  0.0287  0.5000  6 Ge 3.02-3.13, 6 Au 3.02-3.03, 2 Sc 3.31
Ge  0.4215  0.6791  0.7424  3 Au 2.56
Ge  0.9367  0.6791  0.2576  3 Au 2.56
Au  0.1168  0.3469  0.7699  3 Ge 2.56
Au  0.5770  0.3469  0.2301  3 Ge 2.56